! SmPdPbAu (PBE, optimized geometry); values from VASP
! uncorrected energy: -4.841 eV/atom
! ΔE_f: -0.6167 eV/atom
&SYSTEM
  ibrav = 0, nat = 4, ntyp = 4
/
ATOMIC_SPECIES
Sm 150.36 Sm.upf
Pd 106.42 Pd.upf
Pb 207.20 Pb.upf
Au 196.97 Au.upf
CELL_PARAMETERS angstrom
0.000 3.559 3.559
3.559 0.000 3.559
3.559 3.559 0.000
ATOMIC_POSITIONS crystal
Sm 0.000 0.000 0.000
Pd 0.250 0.250 0.250
Pb 0.500 0.500 0.500
Au 0.750 0.750 0.750